Material: KZnAs2
Method: DFT, PBEsol
State: relaxed

## Properties
The calculated formation energy comes out at 55 meV per atom. Its energy is -3.18 eV per atom.

a = 3.3312 Å, b = 3.3312 Å, c = 9.1194 Å
α = 79.48°, β = 79.48°, γ = 60.00°
Closest atoms and distances in Å follow each position.
Fractional coordinates of all 4 atoms:
As  0.7336  0.7336  0.7993  3 Zn 2.63
K  0.5000  0.5000  0.5000  6 As 3.29, 6 K 3.33
As  0.2664  0.2664  0.2007  3 Zn 2.63
Zn  0.0000  0.0000  0.0000  6 As 2.63